# 1
Material: La5CeGa4
Method: DFT, PBE
State: optimized geometry

a b c (Å): 4.4087 8.1461 9.1636
angles (deg): 97.64 103.92 90.00
With the nearest neighbours (Å) after each atom.
Element x y z (fractional)
1 La 0.8030 0.7072 0.6060  4 Ga 2.92-3.25
2 La 0.8596 0.2551 0.7192  4 Ga 3.05-3.22
3 La 0.1404 0.7449 0.2808  4 Ga 3.05-3.22
4 La 0.5000 0.5000 0.0000  4 Ga 3.07
5 La 0.1970 0.2928 0.3940  4 Ga 2.92-3.25
6 Ce 0.5000 0.0000 0.0000  4 Ga 3.03
7 Ga 0.2986 0.9898 0.5971  2 Ga 2.82
8 Ga 0.9687 0.7443 0.9374  4 La 2.92-3.07, 2 Ce 3.03
9 Ga 0.7014 0.0102 0.4029  2 Ga 2.82
10 Ga 0.0313 0.2557 0.0626  4 La 2.92-3.07, 2 Ce 3.03

Results
density of states at the Fermi level: 14.79 states/eV/cell
space group: No. 12
M_tot: 0.898 μB/f.u.
calculated formation energy: -0.270 eV per atom
energy: -45.4 eV per formula unit

=====

# 2
Material: LaCe2Ga
Method: DFT, PBE
State: optimized geometry

a b c (Å): 5.2677 5.2677 5.2654
angles (deg): 59.99 59.99 60.00
With the nearest neighbours (Å) after each atom.
Element x y z (fractional)
1 Ga 0.5000 0.5000 0.5000  8 Ce 3.22-3.23
2 Ce 0.7501 0.7501 0.7497  4 La 3.22-3.23, 4 Ga 3.22-3.23
3 Ce 0.2499 0.2499 0.2503  4 La 3.22-3.23, 4 Ga 3.22-3.23
4 La 0.0000 0.0000 0.0000  8 Ce 3.22-3.23

Results
density of states at the Fermi level: 12.02 states/eV/cell
space group: No. 225
M_tot: 1.734 μB/f.u.
excess energy over the best structure of this formula in the dataset: 231 meV per atom
calculated formation energy: -0.051 eV per atom
energy: -20.0 eV per formula unit

=====

# 3
Material: LaCeGa
Method: DFT, PBE
State: optimized geometry

a b c (Å): 3.8311 4.8736 4.8736
angles (deg): 120.00 90.00 90.00
With the nearest neighbours (Å) after each atom.
Element x y z (fractional)
1 Ga 0.0096 0.0000 0.0000  3 Ce 3.06, 3 La 3.10
2 Ce 0.3216 0.6667 0.3333  3 Ga 3.06, 3 La 3.11
3 La 0.6688 0.3333 0.6667  3 Ga 3.10, 3 Ce 3.11

Results
density of states at the Fermi level: 5.34 states/eV/cell
space group: No. 156
M_tot: 0.734 μB/f.u.
excess energy over the best structure of this formula in the dataset: 124 meV per atom
calculated formation energy: -0.271 eV per atom
energy: -14.7 eV per formula unit

=====

# 4
Material: LaCeGa2
Method: DFT, PBE
State: optimized geometry

a b c (Å): 4.5786 4.1129 10.9071
angles (deg): 100.90 90.00 90.00
With the nearest neighbours (Å) after each atom.
Element x y z (fractional)
1 La 0.7500 0.8093 0.1210  7 Ga 3.18-3.39
2 La 0.2500 0.1907 0.8790  7 Ga 3.18-3.39
3 Ce 0.7500 0.4545 0.4108  2 Ce 2.98, 8 Ga 3.14-3.29
4 Ce 0.2500 0.5455 0.5892  2 Ce 2.98, 8 Ga 3.14-3.29
5 Ga 0.7500 0.6534 0.8042  2 Ga 2.64
6 Ga 0.2500 0.3466 0.1958  2 Ga 2.64
7 Ga 0.7500 0.0757 0.6498  2 Ga 2.64
8 Ga 0.2500 0.9243 0.3502  2 Ga 2.64

Results
density of states at the Fermi level: 10.74 states/eV/cell
space group: No. 11
M_tot: 0.610 μB/f.u.
calculated formation energy: -0.557 eV per atom
energy: -19.1 eV per formula unit

=====

# 5
Material: La4CeGa4
Method: DFT, PBE
State: optimized geometry

a b c (Å): 6.2091 8.7792 8.7792
angles (deg): 90.00 90.00 90.00
With the nearest neighbours (Å) after each atom.
Element x y z (fractional)
1 La 0.3813 0.4306 0.8107  1 Ce 2.89, 2 Ga 3.19-3.20
2 La 0.8813 0.6893 0.9306  1 Ce 2.89, 2 Ga 3.19-3.20
3 La 0.3813 0.5694 0.1893  1 Ce 2.89, 2 Ga 3.19-3.20
4 La 0.1187 0.0694 0.6893  1 Ce 2.89, 2 Ga 3.19-3.20
5 La 0.6187 0.8107 0.5694  1 Ce 2.89, 2 Ga 3.19-3.20
6 La 0.1187 0.9306 0.3107  1 Ce 2.89, 2 Ga 3.19-3.20
7 La 0.8813 0.3107 0.0694  1 Ce 2.89, 2 Ga 3.19-3.20
8 La 0.6187 0.1893 0.4306  1 Ce 2.89, 2 Ga 3.19-3.20
9 Ce 0.0000 0.0000 0.0000  4 La 2.89, 4 Ga 3.06
10 Ce 0.5000 0.5000 0.5000  4 La 2.89, 4 Ga 3.06
11 Ga 0.6030 0.9163 0.1897  2 Ga 2.87, 1 Ce 3.06, 2 La 3.19-3.20
12 Ga 0.6030 0.0837 0.8103  2 Ga 2.87, 1 Ce 3.06, 2 La 3.19-3.20
13 Ga 0.1030 0.6897 0.5837  2 Ga 2.87, 1 Ce 3.06, 2 La 3.19-3.20
14 Ga 0.8970 0.4163 0.6897  2 Ga 2.87, 1 Ce 3.06, 2 La 3.19-3.20
15 Ga 0.8970 0.5837 0.3103  2 Ga 2.87, 1 Ce 3.06, 2 La 3.19-3.20
16 Ga 0.3970 0.1897 0.0837  2 Ga 2.87, 1 Ce 3.06, 2 La 3.19-3.20
17 Ga 0.3970 0.8103 0.9163  2 Ga 2.87, 1 Ce 3.06, 2 La 3.19-3.20
18 Ga 0.1030 0.3103 0.4163  2 Ga 2.87, 1 Ce 3.06, 2 La 3.19-3.20

Results
density of states at the Fermi level: 18.70 states/eV/cell
space group: No. 86
M_tot: 0.001 μB/f.u.
calculated formation energy: -0.347 eV per atom
energy: -40.9 eV per formula unit

=====

# 6
Material: LaCeGa4
Method: DFT, PBE
State: optimized geometry

a b c (Å): 4.2982 4.2982 8.6561
angles (deg): 90.00 90.00 120.00
With the nearest neighbours (Å) after each atom.
Element x y z (fractional)
1 La 0.0000 0.0000 0.5000  12 Ga 3.35
2 Ce 0.0000 0.0000 0.0000  12 Ga 3.23
3 Ga 0.3333 0.6667 0.2396  3 Ga 2.48
4 Ga 0.3333 0.6667 0.7604  3 Ga 2.48
5 Ga 0.6667 0.3333 0.2396  3 Ga 2.48
6 Ga 0.6667 0.3333 0.7604  3 Ga 2.48

Results
density of states at the Fermi level: 6.44 states/eV/cell
space group: No. 191
M_tot: 0.585 μB/f.u.
excess energy over the best structure of this formula in the dataset: 0 meV per atom
calculated formation energy: -0.649 eV per atom
energy: -26.9 eV per formula unit

=====

# 7
Material: La3CeGa4
Method: DFT, PBE
State: optimized geometry

a b c (Å): 3.7985 7.0492 9.5294
angles (deg): 111.69 101.50 90.00
With the nearest neighbours (Å) after each atom.
Element x y z (fractional)
1 La 0.0000 0.5000 0.0000  8 Ga 3.21
2 La 0.2009 0.2010 0.4018  6 Ga 3.16-3.24
3 La 0.7991 0.7990 0.5982  6 Ga 3.16-3.24
4 Ce 0.5000 0.0000 0.0000  4 Ga 3.12
5 Ga 0.3719 0.5601 0.7437  1 Ga 2.66
6 Ga 0.6281 0.4399 0.2563  1 Ga 2.66
7 Ga 0.6282 0.8168 0.2563  1 Ga 2.66
8 Ga 0.3718 0.1832 0.7437  1 Ga 2.66

Results
density of states at the Fermi level: 11.89 states/eV/cell
space group: No. 71
M_tot: 1.283 μB/f.u.
excess energy over the best structure of this formula in the dataset: 161 meV per atom
calculated formation energy: -0.375 eV per atom
energy: -35.8 eV per formula unit

=====

# 8
Material: LaCe12Ga6
Method: DFT, PBE
State: optimized geometry

a b c (Å): 8.3206 8.3206 8.3206
angles (deg): 102.88 102.88 102.88
With the nearest neighbours (Å) after each atom.
Element x y z (fractional)
1 La 0.0000 0.0000 0.0000  18 Ce 4.05-4.37, 6 Ga 4.18
2 Ce 0.8967 0.1033 0.5000  1 Ce 2.69, 2 Ga 2.92
3 Ce 0.8491 0.5827 0.5827  4 Ga 3.07-3.35, 2 Ce 3.28
4 Ce 0.5827 0.5827 0.8491  4 Ga 3.07-3.35, 2 Ce 3.28
5 Ce 0.4173 0.1509 0.4173  4 Ga 3.07-3.35, 2 Ce 3.28
6 Ce 0.4173 0.4173 0.1509  4 Ga 3.07-3.35, 2 Ce 3.28
7 Ce 0.1509 0.4173 0.4173  4 Ga 3.07-3.35, 2 Ce 3.28
8 Ce 0.1033 0.5000 0.8967  1 Ce 2.69, 2 Ga 2.92
9 Ce 0.5000 0.8967 0.1033  1 Ce 2.69, 2 Ga 2.92
10 Ce 0.1033 0.8967 0.5000  1 Ce 2.69, 2 Ga 2.92
11 Ce 0.8967 0.5000 0.1033  1 Ce 2.69, 2 Ga 2.92
12 Ce 0.5000 0.1033 0.8967  1 Ce 2.69, 2 Ga 2.92
13 Ce 0.5827 0.8491 0.5827  4 Ga 3.07-3.35, 2 Ce 3.28
14 Ga 0.7217 0.2656 0.2656  7 Ce 2.92-3.13
15 Ga 0.2656 0.2656 0.7217  7 Ce 2.92-3.13
16 Ga 0.2656 0.7217 0.2656  7 Ce 2.92-3.13
17 Ga 0.7344 0.7344 0.2783  7 Ce 2.92-3.13
18 Ga 0.2783 0.7344 0.7344  7 Ce 2.92-3.13
19 Ga 0.7344 0.2783 0.7344  7 Ce 2.92-3.13

Results
density of states at the Fermi level: 53.95 states/eV/cell
space group: No. 166
M_tot: 6.339 μB/f.u.
calculated formation energy: -0.161 eV per atom
energy: -97.3 eV per formula unit

=====

Question: Among the records above, which one has the highest density of states at the Fermi level?
Answer: LaCe12Ga6